[1]
Computed, not measured: crystalline TbZrGe at its relaxed geometry at the PBE level of DFT.

a b c (Å): 4.721 4.721 4.721
angles (deg): 60.00 60.00 60.00
Positions (direct):
1 Ge 0.000 0.000 0.000
2 Tb 0.250 0.250 0.250
3 Zr 0.750 0.750 0.750

Summary:
Final energy: -6.31 eV/atom
Symmetry: F-43m


[2]
Computed, not measured: crystalline TcGe2 at its relaxed geometry at the PBE level of DFT.

a b c (Å): 5.218 5.218 5.218
angles (deg): 60.00 60.00 60.00
Site moments in Bohr magnetons follow the coordinates.
Positions (direct):
1 Ge 0.625 0.625 0.125  0.03
2 Ge 0.625 0.125 0.625  0.03
3 Ge 0.125 0.625 0.625  -0.03
4 Ge 0.625 0.625 0.625  0.02
5 Tc 0.000 0.000 0.000  1.69
6 Tc 0.250 0.250 0.250  1.69

Summary:
Final energy: -5.63 eV/atom
Symmetry: Fd-3m